(1)
Computed, not measured: an optimized crystal structure of TbH12Rh5 at the PBE-GGA level of DFT.

Geometry as CIF:
```
data_TbH12Rh5
_space_group_name_H-M_alt 'P -1'
_space_group_IT_number 2
_cell_length_a 4.799
_cell_length_b 5.185
_cell_length_c 7.260
_cell_angle_alpha 107.85
_cell_angle_beta 92.56
_cell_angle_gamma 114.94
loop_
_space_group_symop_operation_xyz
'x,y,z'
'-x,-y,-z'
loop_
_atom_site_label
_atom_site_fract_x
_atom_site_fract_y
_atom_site_fract_z
_atom_site_occupancy
Tb1 0.000 0.000 0.000 1
H1 0.118 0.395 0.575 1
H2 0.145 0.507 0.230 1
H3 0.206 0.145 0.750 1
H4 0.406 0.136 0.493 1
H5 0.450 0.834 0.034 1
H6 0.478 0.240 0.265 1
Rh1 0.000 0.000 0.500 1
Rh2 0.228 0.530 0.822 1
Rh3 0.439 0.881 0.271 1
```

calculated volume = 152.7 Å³ per cell
E = -4.651 eV per atom

(2)
Computed, not measured: an optimized crystal structure of Tb3HRh8 at the PBE-GGA level of DFT.

Geometry as CIF:
```
data_Tb3HRh8
_space_group_name_H-M_alt 'R 3 m'
_space_group_IT_number 160
_space_group_name_Hall 'R 3 -2"'
_cell_length_a 5.3154
_cell_length_b 5.3154
_cell_length_c 25.9214
_cell_angle_alpha 90.00
_cell_angle_beta 90.00
_cell_angle_gamma 120.00
loop_
_atom_site_label
_atom_site_fract_x
_atom_site_fract_y
_atom_site_fract_z
_atom_site_occupancy
Tb1 0.0000 0.0000 0.0000 1
Tb2 0.0000 0.0000 0.1318 1
Tb3 0.0000 0.0000 0.5219 1
H1 0.0000 0.0000 0.6993 1
Rh1 0.0000 0.0000 0.3187 1
Rh2 0.0000 0.0000 0.8199 1
Rh3 0.0053 0.5026 0.0704 1
Rh4 0.1675 0.3350 0.9030 1
```

calculated volume = 634.3 Å³ per cell
E = -6.824 eV per atom

(3)
Computed, not measured: an optimized crystal structure of Tb12H5Rh3 at the PBE-GGA level of DFT.

Geometry as CIF:
```
data_Tb12H5Rh3
_space_group_name_H-M_alt 'I a -3 d'
_space_group_IT_number 230
_space_group_name_Hall '-I 4bd 2c 3'
_cell_length_a 15.115
_cell_length_b 15.115
_cell_length_c 15.115
_cell_angle_alpha 90.00
_cell_angle_beta 90.00
_cell_angle_gamma 90.00
loop_
_atom_site_label
_atom_site_fract_x
_atom_site_fract_y
_atom_site_fract_z
_atom_site_occupancy
Tb1 0.035 0.061 0.655 1
H1 0.000 0.000 0.000 1
H2 0.000 0.250 0.375 1
Rh1 0.000 0.250 0.125 1
```

calculated volume = 3453.5 Å³ per cell
E = -5.149 eV per atom

(4)
Computed, not measured: an optimized crystal structure of TbH3Rh at the PBE-GGA level of DFT.

Geometry as CIF:
```
data_TbH3Rh
_space_group_name_H-M_alt 'P 1'
_space_group_IT_number 1
_cell_length_a 3.654
_cell_length_b 3.657
_cell_length_c 4.980
_cell_angle_alpha 68.54
_cell_angle_beta 68.70
_cell_angle_gamma 90.00
loop_
_space_group_symop_operation_xyz
'x,y,z'
loop_
_atom_site_label
_atom_site_fract_x
_atom_site_fract_y
_atom_site_fract_z
_atom_site_occupancy
Tb1 0.000 0.000 0.000 1
H1 0.192 0.693 0.613 1
H2 0.457 0.457 0.085 1
H3 0.692 0.192 0.614 1
Rh1 0.662 0.662 0.674 1
```

calculated volume = 57.0 Å³ per cell
E = -4.850 eV per atom

(5)
Computed, not measured: an optimized crystal structure of Tb2HRh at the PBE-GGA level of DFT.

Geometry as CIF:
```
data_Tb2HRh
_space_group_name_H-M_alt 'C 1 2/m 1'
_space_group_IT_number 12
_cell_length_a 13.761
_cell_length_b 3.705
_cell_length_c 6.826
_cell_angle_alpha 90.00
_cell_angle_beta 113.76
_cell_angle_gamma 90.00
loop_
_space_group_symop_operation_xyz
'x,y,z'
'-x,-y,-z'
'-x,y,-z'
'x,-y,z'
'x+1/2,y+1/2,z'
'-x+1/2,-y+1/2,-z'
'-x+1/2,y+1/2,-z'
'x+1/2,-y+1/2,z'
loop_
_atom_site_label
_atom_site_fract_x
_atom_site_fract_y
_atom_site_fract_z
_atom_site_occupancy
Tb1 0.013 0.000 0.257 1
Tb2 0.214 0.500 0.745 1
H1 0.111 0.000 0.605 1
Rh1 0.118 0.500 0.070 1
```

calculated volume = 318.5 Å³ per cell
E = -5.659 eV per atom

(6)
Computed, not measured: an optimized crystal structure of Tb2HRh at the PBE-GGA level of DFT.

Geometry as CIF:
```
data_Tb2HRh
_space_group_name_H-M_alt 'P 4/m m m'
_space_group_IT_number 123
_space_group_name_Hall '-P 4 2'
_cell_length_a 3.257
_cell_length_b 3.257
_cell_length_c 7.059
_cell_angle_alpha 90.00
_cell_angle_beta 90.00
_cell_angle_gamma 90.00
loop_
_atom_site_label
_atom_site_fract_x
_atom_site_fract_y
_atom_site_fract_z
_atom_site_occupancy
Tb1 0.000 0.000 0.247 1
H1 0.500 0.500 0.000 1
Rh1 0.500 0.500 0.500 1
```

calculated volume = 74.9 Å³ per cell
E = -5.325 eV per atom

(7)
Computed, not measured: an optimized crystal structure of TbH2Rh at the PBE-GGA level of DFT.

Geometry as CIF:
```
data_TbH2Rh
_space_group_name_H-M_alt 'P m m m'
_space_group_IT_number 47
_cell_length_a 3.476
_cell_length_b 3.627
_cell_length_c 3.702
_cell_angle_alpha 90.00
_cell_angle_beta 90.00
_cell_angle_gamma 90.00
loop_
_space_group_symop_operation_xyz
'x,y,z'
'-x,-y,-z'
'-x,-y,z'
'x,y,-z'
'x,-y,-z'
'-x,y,z'
'-x,y,-z'
'x,-y,z'
loop_
_atom_site_label
_atom_site_fract_x
_atom_site_fract_y
_atom_site_fract_z
_atom_site_occupancy
Tb1 0.000 0.000 0.000 1
H1 0.500 0.000 0.500 1
H2 0.500 0.500 0.000 1
Rh1 0.500 0.500 0.500 1
```

calculated volume = 46.7 Å³ per cell
E = -5.307 eV per atom

(8)
Computed, not measured: an optimized crystal structure of Tb2HRh6 at the PBE-GGA level of DFT.

Geometry as CIF:
```
data_Tb2HRh6
_space_group_name_H-M_alt 'I 4/m m m'
_space_group_IT_number 139
_space_group_name_Hall '-I 4 2'
_cell_length_a 5.781
_cell_length_b 5.781
_cell_length_c 8.075
_cell_angle_alpha 90.00
_cell_angle_beta 90.00
_cell_angle_gamma 90.00
loop_
_atom_site_label
_atom_site_fract_x
_atom_site_fract_y
_atom_site_fract_z
_atom_site_occupancy
Tb1 0.000 0.500 0.250 1
H1 0.000 0.000 0.000 1
Rh1 0.000 0.000 0.253 1
Rh2 0.248 0.248 0.500 1
```

calculated volume = 269.9 Å³ per cell
E = -6.802 eV per atom

(9)
Computed, not measured: an optimized crystal structure of Tb2HRh at the PBE-GGA level of DFT.

Geometry as CIF:
```
data_Tb2HRh
_space_group_name_H-M_alt 'R 3 m'
_space_group_IT_number 160
_space_group_name_Hall 'R 3 -2"'
_cell_length_a 3.6599
_cell_length_b 3.6599
_cell_length_c 20.8320
_cell_angle_alpha 90.00
_cell_angle_beta 90.00
_cell_angle_gamma 120.00
loop_
_atom_site_label
_atom_site_fract_x
_atom_site_fract_y
_atom_site_fract_z
_atom_site_occupancy
Tb1 0.0000 0.0000 0.0000 1
Tb2 0.0000 0.0000 0.1633 1
H1 0.0000 0.0000 0.7542 1
Rh1 0.0000 0.0000 0.5819 1
```

calculated volume = 241.7 Å³ per cell
E = -5.416 eV per atom

(10)
Computed, not measured: an optimized crystal structure of TbH6Rh2 at the PBE-GGA level of DFT.

Geometry as CIF:
```
data_TbH6Rh2
_space_group_name_H-M_alt 'C 1 2/m 1'
_space_group_IT_number 12
_cell_length_a 8.121
_cell_length_b 3.664
_cell_length_c 6.235
_cell_angle_alpha 90.00
_cell_angle_beta 116.40
_cell_angle_gamma 90.00
loop_
_space_group_symop_operation_xyz
'x,y,z'
'-x,-y,-z'
'-x,y,-z'
'x,-y,z'
'x+1/2,y+1/2,z'
'-x+1/2,-y+1/2,-z'
'-x+1/2,y+1/2,-z'
'x+1/2,-y+1/2,z'
loop_
_atom_site_label
_atom_site_fract_x
_atom_site_fract_y
_atom_site_fract_z
_atom_site_occupancy
Tb1 0.000 0.000 0.000 1
H1 0.004 0.000 0.355 1
H2 0.190 0.500 0.063 1
H3 0.208 0.500 0.626 1
Rh1 0.202 0.000 0.637 1
```

calculated volume = 166.2 Å³ per cell
E = -4.644 eV per atom

(11)
Computed, not measured: an optimized crystal structure of TbH3Rh2 at the PBE-GGA level of DFT.

Geometry as CIF:
```
data_TbH3Rh2
_space_group_name_H-M_alt 'C 1 2/m 1'
_space_group_IT_number 12
_cell_length_a 13.561
_cell_length_b 4.096
_cell_length_c 4.549
_cell_angle_alpha 90.00
_cell_angle_beta 92.63
_cell_angle_gamma 90.00
loop_
_space_group_symop_operation_xyz
'x,y,z'
'-x,-y,-z'
'-x,y,-z'
'x,-y,z'
'x+1/2,y+1/2,z'
'-x+1/2,-y+1/2,-z'
'-x+1/2,y+1/2,-z'
'x+1/2,-y+1/2,z'
loop_
_atom_site_label
_atom_site_fract_x
_atom_site_fract_y
_atom_site_fract_z
_atom_site_occupancy
Tb1 0.103 0.000 0.238 1
H1 0.043 0.500 0.327 1
H2 0.107 0.000 0.734 1
H3 0.221 0.500 0.838 1
Rh1 0.084 0.500 0.716 1
Rh2 0.243 0.000 0.758 1
```

calculated volume = 252.4 Å³ per cell
E = -5.316 eV per atom

(12)
Computed, not measured: an optimized crystal structure of TbH3Rh at the PBE-GGA level of DFT.

Geometry as CIF:
```
data_TbH3Rh
_space_group_name_H-M_alt 'P m -3 m'
_space_group_IT_number 221
_space_group_name_Hall '-P 4 2 3'
_cell_length_a 3.662
_cell_length_b 3.662
_cell_length_c 3.662
_cell_angle_alpha 90.00
_cell_angle_beta 90.00
_cell_angle_gamma 90.00
loop_
_atom_site_label
_atom_site_fract_x
_atom_site_fract_y
_atom_site_fract_z
_atom_site_occupancy
Tb1 0.000 0.000 0.000 1
H1 0.000 0.500 0.500 1
Rh1 0.500 0.500 0.500 1
```

calculated volume = 49.1 Å³ per cell
E = -5.003 eV per atom